# 1
Material: SrScZn2
Method: DFT, PBE-GGA
State: optimized geometry

```
data_SrScZn2
_cell_length_a 4.427
_cell_length_b 4.427
_cell_length_c 9.801
_cell_angle_alpha 90.00
_cell_angle_beta 90.00
_cell_angle_gamma 90.00
_space_group_name_H-M_alt 'I -4 m 2'
_space_group_IT_number 119
_space_group_name_Hall 'I -4 -2'
loop_
_atom_site_label
_atom_site_type_symbol
_atom_site_fract_x
_atom_site_fract_y
_atom_site_fract_z
_atom_site_occupancy
Sr1 Sr 0.000 0.000 0.000 1
Sc1 Sc 0.000 0.500 0.250 1
Zn1 Zn 0.000 0.000 0.500 1
Zn2 Zn 0.000 0.500 0.750 1
```

crystal system: tetragonal

=====

# 2
Material: SrScZn2
Method: DFT, PBE-GGA
State: optimized geometry

```
data_SrScZn2
_cell_length_a 4.993
_cell_length_b 4.993
_cell_length_c 19.557
_cell_angle_alpha 90.00
_cell_angle_beta 90.00
_cell_angle_gamma 90.00
_space_group_name_H-M_alt 'I -4 2 d'
_space_group_IT_number 122
_space_group_name_Hall 'I -4 2bw'
loop_
_atom_site_label
_atom_site_type_symbol
_atom_site_fract_x
_atom_site_fract_y
_atom_site_fract_z
_atom_site_occupancy
Sr1 Sr 0.000 0.000 0.000 1
Sc1 Sc 0.000 0.000 0.500 1
Zn1 Zn 0.060 0.250 0.625 1
```

crystal system: tetragonal

=====

# 3
Material: SrScZn2
Method: DFT, PBE-GGA
State: optimized geometry

```
data_SrScZn2
_cell_length_a 3.602
_cell_length_b 3.602
_cell_length_c 7.249
_cell_angle_alpha 90.00
_cell_angle_beta 90.00
_cell_angle_gamma 90.00
_space_group_name_H-M_alt 'P 4/m m m'
_space_group_IT_number 123
_space_group_name_Hall '-P 4 2'
loop_
_atom_site_label
_atom_site_type_symbol
_atom_site_fract_x
_atom_site_fract_y
_atom_site_fract_z
_atom_site_occupancy
Sr1 Sr 0.000 0.000 0.000 1
Sc1 Sc 0.000 0.000 0.500 1
Zn1 Zn 0.500 0.500 0.306 1
```

crystal system: tetragonal

=====

# 4
Material: SrScZn2
Method: DFT, PBE-GGA
State: optimized geometry

```
data_SrScZn2
_cell_length_a 11.593
_cell_length_b 3.477
_cell_length_c 5.184
_cell_angle_alpha 90.00
_cell_angle_beta 116.41
_cell_angle_gamma 90.00
_space_group_name_H-M_alt 'C 1 m 1'
_space_group_IT_number 8
_space_group_name_Hall 'C -2y'
loop_
_atom_site_label
_atom_site_type_symbol
_atom_site_fract_x
_atom_site_fract_y
_atom_site_fract_z
_atom_site_occupancy
Sr1 Sr 0.000 0.000 0.000 1
Sc1 Sc 0.199 0.000 0.698 1
Zn1 Zn 0.270 0.500 0.270 1
Zn2 Zn 0.461 0.000 0.461 1
```

crystal system: monoclinic

=====

# 5
Material: Sr3ScZn
Method: DFT, PBE-GGA
State: optimized geometry

```
data_Sr3ScZn
_cell_length_a 6.055
_cell_length_b 6.055
_cell_length_c 6.055
_cell_angle_alpha 90.00
_cell_angle_beta 90.00
_cell_angle_gamma 90.00
_space_group_name_H-M_alt 'P m -3 m'
_space_group_IT_number 221
_space_group_name_Hall '-P 4 2 3'
loop_
_atom_site_label
_atom_site_type_symbol
_atom_site_fract_x
_atom_site_fract_y
_atom_site_fract_z
_atom_site_occupancy
Sr1 Sr 0.000 0.000 0.500 1
Sc1 Sc 0.500 0.500 0.500 1
Zn1 Zn 0.000 0.000 0.000 1
```

relative energy among the computed polymorphs: 0.0 meV per atom
crystal system: cubic

=====

# 6
Material: SrScZn2
Method: DFT, PBE-GGA
State: optimized geometry

```
data_SrScZn2
_cell_length_a 8.157
_cell_length_b 4.704
_cell_length_c 6.166
_cell_angle_alpha 90.00
_cell_angle_beta 116.07
_cell_angle_gamma 90.00
_space_group_name_H-M_alt 'C 1 2/m 1'
_space_group_IT_number 12
_space_group_name_Hall '-C 2y'
loop_
_atom_site_label
_atom_site_type_symbol
_atom_site_fract_x
_atom_site_fract_y
_atom_site_fract_z
_atom_site_occupancy
Sr1 Sr 0.000 0.000 0.000 1
Sc1 Sc 0.000 0.500 0.500 1
Zn1 Zn 0.196 0.000 0.588 1
```

crystal system: monoclinic

=====

# 7
Material: Sr3ScZn
Method: DFT, PBE-GGA
State: optimized geometry

```
data_Sr3ScZn
_cell_length_a 6.436
_cell_length_b 6.436
_cell_length_c 6.436
_cell_angle_alpha 90.00
_cell_angle_beta 90.00
_cell_angle_gamma 90.00
_space_group_name_H-M_alt 'P m -3 m'
_space_group_IT_number 221
_space_group_name_Hall '-P 4 2 3'
loop_
_atom_site_label
_atom_site_type_symbol
_atom_site_fract_x
_atom_site_fract_y
_atom_site_fract_z
_atom_site_occupancy
Sr1 Sr 0.000 0.000 0.500 1
Sc1 Sc 0.000 0.000 0.000 1
Zn1 Zn 0.500 0.500 0.500 1
```

relative energy among the computed polymorphs: 419.8 meV per atom
crystal system: cubic

=====

# 8
Material: SrScZn2
Method: DFT, PBE-GGA
State: optimized geometry

```
data_SrScZn2
_cell_length_a 7.139
_cell_length_b 7.139
_cell_length_c 7.139
_cell_angle_alpha 90.00
_cell_angle_beta 90.00
_cell_angle_gamma 90.00
_space_group_name_H-M_alt 'F -4 3 m'
_space_group_IT_number 216
_space_group_name_Hall 'F -4 2 3'
loop_
_atom_site_label
_atom_site_type_symbol
_atom_site_fract_x
_atom_site_fract_y
_atom_site_fract_z
_atom_site_occupancy
Sr1 Sr 0.000 0.000 0.000 1
Sc1 Sc 0.250 0.250 0.250 1
Zn1 Zn 0.000 0.000 0.500 1
Zn2 Zn 0.250 0.250 0.750 1
```

crystal system: cubic

=====

# 9
Material: SrSc4Zn
Method: DFT, PBE-GGA
State: optimized geometry

```
data_SrSc4Zn
_cell_length_a 8.699
_cell_length_b 8.699
_cell_length_c 8.699
_cell_angle_alpha 90.00
_cell_angle_beta 90.00
_cell_angle_gamma 90.00
_space_group_name_H-M_alt 'F -4 3 m'
_space_group_IT_number 216
_space_group_name_Hall 'F -4 2 3'
loop_
_atom_site_label
_atom_site_type_symbol
_atom_site_fract_x
_atom_site_fract_y
_atom_site_fract_z
_atom_site_occupancy
Sr1 Sr 0.000 0.000 0.000 1
Sc1 Sc 0.123 0.123 0.377 1
Zn1 Zn 0.250 0.250 0.750 1
```

crystal system: cubic

=====

# 10
Material: SrScZn2
Method: DFT, PBE-GGA
State: optimized geometry

```
data_SrScZn2
_cell_length_a 3.575
_cell_length_b 3.575
_cell_length_c 7.823
_cell_angle_alpha 90.00
_cell_angle_beta 90.00
_cell_angle_gamma 90.00
_space_group_name_H-M_alt 'P 4 m m'
_space_group_IT_number 99
_space_group_name_Hall 'P 4 -2'
loop_
_atom_site_label
_atom_site_type_symbol
_atom_site_fract_x
_atom_site_fract_y
_atom_site_fract_z
_atom_site_occupancy
Sr1 Sr 0.000 0.000 0.000 1
Sc1 Sc 0.500 0.500 0.630 1
Zn1 Zn 0.000 0.000 0.451 1
Zn2 Zn 0.500 0.500 0.270 1
```

crystal system: tetragonal

=====

# 11
Material: SrScZn3
Method: DFT, PBE-GGA
State: optimized geometry

```
data_SrScZn3
_cell_length_a 5.423
_cell_length_b 5.423
_cell_length_c 5.423
_cell_angle_alpha 90.00
_cell_angle_beta 90.00
_cell_angle_gamma 90.00
_space_group_name_H-M_alt 'P m -3 m'
_space_group_IT_number 221
_space_group_name_Hall '-P 4 2 3'
loop_
_atom_site_label
_atom_site_type_symbol
_atom_site_fract_x
_atom_site_fract_y
_atom_site_fract_z
_atom_site_occupancy
Sr1 Sr 0.000 0.000 0.000 1
Sc1 Sc 0.500 0.500 0.500 1
Zn1 Zn 0.000 0.000 0.500 1
```

relative energy among the computed polymorphs: 715.1 meV per atom
crystal system: cubic

=====

# 12
Material: SrScZn4
Method: DFT, PBE-GGA
State: optimized geometry

```
data_SrScZn4
_cell_length_a 7.789
_cell_length_b 7.789
_cell_length_c 7.789
_cell_angle_alpha 90.00
_cell_angle_beta 90.00
_cell_angle_gamma 90.00
_space_group_name_H-M_alt 'F -4 3 m'
_space_group_IT_number 216
_space_group_name_Hall 'F -4 2 3'
loop_
_atom_site_label
_atom_site_type_symbol
_atom_site_fract_x
_atom_site_fract_y
_atom_site_fract_z
_atom_site_occupancy
Sr1 Sr 0.000 0.000 0.000 1
Sc1 Sc 0.250 0.250 0.250 1
Zn1 Zn 0.123 0.123 0.623 1
```

crystal system: cubic

=====

Number 1: magnetization 0.001 μB per formula unit, energy of formation 108 meV/atom, energy -2.532 eV per atom. Number 2: magnetization 0.001 μB per formula unit, energy of formation 270 meV/atom, energy -2.370 eV per atom. Number 3: magnetization 0.000 μB per formula unit, energy of formation -234 meV/atom, energy -2.875 eV per atom. Number 4: magnetization 0.000 μB per formula unit, energy of formation -41 meV/atom, energy -2.681 eV per atom. Number 5: magnetization 1.701 μB per formula unit, energy of formation 337 meV/atom, energy -2.194 eV per atom. Number 6: magnetization 0.000 μB per formula unit, energy of formation -156 meV/atom, energy -2.797 eV per atom. Number 7: magnetization 3.510 μB per formula unit, energy of formation 756 meV/atom, energy -1.774 eV per atom. Number 8: magnetization 0.000 μB per formula unit, energy of formation 185 meV/atom, energy -2.456 eV per atom. Number 9: magnetization 0.001 μB per formula unit, energy of formation 361 meV/atom, energy -4.353 eV per atom. Number 10: magnetization 0.237 μB per formula unit, energy of formation -8 meV/atom, energy -2.648 eV per atom. Number 11: magnetization 0.777 μB per formula unit, energy of formation 953 meV/atom, energy -1.414 eV per atom. Number 12: magnetization 0.000 μB per formula unit, energy of formation -182 meV/atom, energy -2.367 eV per atom.